Material: Sc3TlO
Method: DFT, GGA-PBE
State: optimized geometry

Structure (POSCAR):
```
Sc3TlO
1.0
-4.470 0.363 5.853
-4.873 -3.957 -0.109
2.402 -3.013 2.021
Sc Tl O
6 2 2
direct
0.433 0.543 0.906
0.181 0.428 0.406
0.933 0.302 0.906
0.433 0.061 0.906
0.933 0.802 0.906
0.685 0.176 0.406
0.168 0.934 0.406
0.697 0.670 0.406
0.690 0.173 0.906
0.175 0.431 0.906
```

Raw formation energy (eV per atom): -1.38

Material: LaMg2TlN
Method: DFT, GGA-PBE
State: optimized geometry

Structure (POSCAR):
```
LaMg2TlN
1.0
-1.971 -3.974 -1.215
3.491 -2.313 1.901
-2.461 -0.118 4.378
Tl Mg La N
1 2 1 1
direct
0.500 0.500 0.500
0.500 0.000 0.000
0.000 0.500 0.000
0.000 0.000 0.500
0.000 0.000 0.000
```

Raw formation energy (eV per atom): -0.46

Material: Rb2NaTl5In2
Method: DFT, GGA-PBE
State: optimized geometry

Structure (POSCAR):
```
Rb2NaTl5In2
1.0
4.447 0.000 0.000
0.000 12.405 0.000
0.000 0.000 12.405
Rb Tl Na In
4 10 2 4
direct
0.000 0.675 0.175
0.000 0.325 0.825
0.000 0.825 0.675
0.000 0.175 0.325
0.500 0.804 0.942
0.500 0.058 0.804
0.500 0.304 0.558
0.500 0.558 0.696
0.500 0.500 0.000
0.500 0.196 0.058
0.500 0.942 0.196
0.500 0.000 0.500
0.500 0.696 0.442
0.500 0.442 0.304
0.000 0.000 0.000
0.000 0.500 0.500
0.000 0.873 0.373
0.000 0.127 0.627
0.000 0.627 0.873
0.000 0.373 0.127
```

Total DFT energy (no corrections) (eV per atom): -2.10